Entry 1:
VASP calculation (PBE) on TbNd3Pt4 after structural relaxation.

Summary:
ΔH_f (0 K)   -9.41 eV/f.u.
SG   Pm

The structure in POSCAR format:
```
TbNd3Pt4
1.0
-1.815 -5.287 1.040
4.162 -1.118 1.579
-1.984 2.056 6.686
Pt Nd Tb
4 3 1
Direct
0.153 0.500 0.053
0.655 0.000 0.453
0.341 0.500 0.535
0.850 0.000 0.960
0.860 0.500 0.681
0.641 0.500 0.183
0.360 0.000 0.816
0.140 0.000 0.318
```

***

Entry 2:
VASP calculation (PBE) on TlPt10 after structural relaxation.

Summary:
Uncorrected energy   -125.05 eV per cell
SG   C2/m

The structure in POSCAR format:
```
TlPt10
1.0
-0.754 3.191 3.472
-1.482 -0.506 4.512
30.591 -3.342 9.539
Pt Tl
20 2
Direct
0.249 0.249 0.429
0.649 0.649 0.373
0.247 0.247 0.713
0.351 0.351 0.627
0.549 0.549 0.458
0.148 0.148 0.233
0.350 0.350 0.344
0.451 0.451 0.542
0.852 0.852 0.767
0.151 0.151 0.514
0.850 0.850 0.486
0.548 0.548 0.742
0.751 0.751 0.571
0.650 0.650 0.656
0.948 0.948 0.683
0.051 0.051 0.599
0.052 0.052 0.317
0.452 0.452 0.258
0.753 0.753 0.287
0.949 0.949 0.401
0.153 0.153 0.808
0.847 0.847 0.192
```

***

Entry 3:
VASP calculation (PBE) on CsScPt after structural relaxation.

Summary:
SG   F-43m
Energy relative to the lowest polymorph listed for this composition   0 meV/atom

The structure in POSCAR format:
```
CsScPt
1.0
0.000 3.561 3.561
3.561 0.000 3.561
3.561 3.561 0.000
Cs Pt Sc
1 1 1
Direct
0.250 0.250 0.250
0.000 0.000 0.000
0.750 0.750 0.750
```

***

Entry 4:
VASP calculation (PBE) on InCuSnSeS2 after structural relaxation.

Summary:
Uncorrected energy   -47.85 eV per cell
SG   Cmcm

The structure in POSCAR format:
```
InCuSnSeS2
1.0
-2.080 5.167 4.600
-1.580 -6.052 -3.614
3.522 -5.681 7.974
Sn S Se Cu In
2 4 2 2 2
Direct
0.500 0.500 0.500
0.500 0.500 0.000
0.873 0.127 0.458
0.873 0.127 0.042
0.127 0.873 0.958
0.127 0.873 0.542
0.435 0.565 0.750
0.565 0.435 0.250
0.854 0.146 0.250
0.146 0.854 0.750
0.788 0.212 0.750
0.212 0.788 0.250
```

***

Entry 5:
VASP calculation (PBE) on ScCoAgSb after structural relaxation.

Summary:
SG   F-43m
Energy relative to the lowest polymorph listed for this composition   46 meV/atom

The structure in POSCAR format:
```
ScCoAgSb
1.0
1.543 -4.337 -0.369
-2.812 -3.539 0.947
-1.528 -2.712 -3.412
Co Sb Ag Sc
1 1 1 1
Direct
0.750 0.750 0.750
0.000 0.000 0.000
0.500 0.500 0.500
0.250 0.250 0.250
```

***

Entry 6:
VASP calculation (PBE) on HfZr2 after structural relaxation.

Summary:
ΔH_f (0 K)   0.01 eV/f.u.
SG   Pm

The structure in POSCAR format:
```
HfZr2
1.0
5.569 12.889 0.000
-5.583 6.451 0.000
0.000 0.000 5.132
Hf Zr
8 16
Direct
0.361 0.524 0.500
0.861 0.026 0.500
0.333 0.335 0.000
0.196 0.360 0.500
0.998 0.000 0.000
0.834 0.836 0.000
0.443 0.116 0.500
0.752 0.246 0.000
0.417 0.922 0.000
0.611 0.278 0.500
0.916 0.416 0.000
0.111 0.777 0.500
0.668 0.666 0.000
0.499 0.501 0.000
0.028 0.192 0.500
0.279 0.944 0.500
0.526 0.697 0.500
0.251 0.749 0.000
0.695 0.862 0.500
0.777 0.441 0.500
0.944 0.611 0.500
0.583 0.086 0.000
0.084 0.582 0.000
0.166 0.168 0.000
```

***

Entry 7:
VASP calculation (PBE) on ZrTl2Pt after structural relaxation.

Summary:
Uncorrected energy   -19.60 eV per cell
SG   F-43m

The structure in POSCAR format:
```
ZrTl2Pt
1.0
0.000 3.499 3.499
3.499 0.000 3.499
3.499 3.499 0.000
Tl Zr Pt
2 1 1
Direct
0.250 0.250 0.250
0.000 0.000 0.000
0.750 0.750 0.750
0.500 0.500 0.500
```

***

Entry 8:
VASP calculation (PBE) on YGaPt after structural relaxation.

Summary:
Uncorrected energy   -75.53 eV per cell
SG   Pnma

The structure in POSCAR format:
```
YGaPt
1.0
-0.323 -6.158 3.169
4.396 0.069 0.583
-0.953 3.533 6.768
Y Ga Pt
4 4 4
Direct
0.486 0.750 0.302
0.014 0.250 0.802
0.986 0.750 0.198
0.514 0.250 0.698
0.328 0.750 0.925
0.828 0.750 0.575
0.172 0.250 0.425
0.672 0.250 0.075
0.723 0.750 0.902
0.223 0.750 0.598
0.777 0.250 0.402
0.277 0.250 0.098
```

***

Entry 9:
VASP calculation (PBE) on ZnFeNiAu after structural relaxation.

Summary:
ΔH_f (0 K)   0.14 eV/f.u.
SG   F-43m
Energy relative to the lowest polymorph listed for this composition   17 meV/atom

The structure in POSCAR format:
```
ZnFeNiAu
1.0
1.394 -3.466 2.058
-0.317 -0.230 4.247
-2.790 -2.685 1.788
Ni Au Zn Fe
1 1 1 1
Direct
0.250 0.250 0.250
0.500 0.500 0.500
0.000 0.000 0.000
0.750 0.750 0.750
```

***

Entry 10:
VASP calculation (PBE) on TbErHg after structural relaxation.

Summary:
ΔH_f (0 K)   -1.09 eV/f.u.
SG   Pnma
Energy relative to the lowest polymorph listed for this composition   0 meV/atom

The structure in POSCAR format:
```
TbErHg
1.0
7.090 0.000 0.000
0.000 5.059 0.000
0.000 0.000 9.169
Tb Hg Er
4 4 4
Direct
0.016 0.250 0.807
0.516 0.250 0.693
0.484 0.750 0.307
0.984 0.750 0.193
0.759 0.750 0.898
0.241 0.250 0.102
0.741 0.250 0.398
0.259 0.750 0.602
0.833 0.750 0.575
0.333 0.750 0.925
0.667 0.250 0.075
0.167 0.250 0.425
```

***

Entry 11:
VASP calculation (PBE) on BaCdPtPb2 after structural relaxation.

Summary:
SG   P4/nmm
Energy relative to the lowest polymorph listed for this composition   0 meV/atom

The structure in POSCAR format:
```
BaCdPtPb2
1.0
4.935 0.000 0.000
0.000 4.935 0.000
0.000 0.000 11.975
Ba Pb Cd Pt
2 4 2 2
Direct
0.000 0.500 0.260
0.500 0.000 0.740
0.500 0.000 0.154
0.000 0.500 0.846
0.500 0.500 0.500
0.000 0.000 0.500
0.500 0.500 0.000
0.000 0.000 0.000
0.000 0.500 0.617
0.500 0.000 0.383
```

***

Entry 12:
VASP calculation (PBE) on YGePt2 after structural relaxation.

Summary:
Uncorrected energy   -53.62 eV per cell
SG   Pmn2_1

The structure in POSCAR format:
```
YGePt2
1.0
-2.724 1.325 -2.863
2.015 -4.654 -4.070
-3.909 -3.521 2.090
Y Pt Ge
2 4 2
Direct
0.000 0.578 0.368
0.500 0.422 0.868
0.000 0.754 0.849
0.500 0.836 0.160
0.000 0.164 0.660
0.500 0.246 0.349
0.500 0.890 0.623
0.000 0.110 0.123
```